Below is a relaxed TlCo2Ru crystal, with properties calculated at the PBE-GGA level.

The structure in extended XYZ format:
```
4
Lattice="2.8153 0.0000 0.0000 0.0000 2.8153 0.0000 0.0000 0.0000 7.2460" Properties=species:S:1:pos:R:3 pbc="T T T"
Tl 0.0000 0.0000 0.0000
Co 1.4077 1.4077 2.0316
Co 1.4077 1.4077 5.2144
Ru 0.0000 0.0000 3.6230
```

Properties
Crystal system   tetragonal
ΔE to the lowest computed polymorph   26 meV/atom
Calculated volume   14.4 A^3/atom
E_form   0.494 eV/atom

***

Below is a relaxed Na4LiRh3O8 crystal, with properties calculated at the PBE-GGA level.

The structure in extended XYZ format:
```
16
Lattice="3.1233 1.8032 5.2319 -3.1233 1.8032 5.2319 0.0000 -3.6065 5.2319" Properties=species:S:1:pos:R:3 pbc="T T T"
Na 0.0000 0.0000 0.0000
Na -1.5617 -0.9016 5.2319
Na -1.5617 0.9016 10.4639
Na 0.0000 1.8032 5.2319
Li 0.0000 0.0000 7.8479
Rh -3.1233 0.0000 7.8479
Rh -1.5617 0.9016 2.6160
Rh 1.5617 0.9016 2.6160
O -1.6491 -0.9521 8.8939
O 0.0000 0.0000 3.6800
O 0.0000 -1.9042 6.8019
O -1.6491 0.9521 6.8019
O 1.6491 -0.9521 8.8939
O 0.0000 1.9042 8.8939
O 0.0000 0.0000 12.0158
O 1.6491 0.9521 6.8019
```

Properties
Crystal system   trigonal
Calculated volume   11.1 A^3/atom
DFT total energy   -0.2040 hartree per atom

***

Below is a relaxed Li5SmMg4 crystal, with properties calculated at the PBE-GGA level.

The structure in extended XYZ format:
```
10
Lattice="3.4909 0.0000 0.0000 0.0000 3.4909 0.0000 0.0000 0.0000 17.6371" Properties=species:S:1:pos:R:3 pbc="T T T"
Li 0.0000 0.0000 0.0000
Li 0.0000 0.0000 3.3180
Li 0.0000 0.0000 6.5919
Li 0.0000 0.0000 11.0452
Li 0.0000 0.0000 14.3191
Sm 1.7455 1.7455 8.8185
Mg 1.7455 1.7455 1.6699
Mg 1.7455 1.7455 5.0245
Mg 1.7455 1.7455 12.6126
Mg 1.7455 1.7455 15.9672
```

Properties
Crystal system   tetragonal
Calculated volume   21.5 A^3/atom
E_form   -0.007 eV/atom

***

Below is a relaxed Bi3Pd4S crystal, with properties calculated at the PBE-GGA level.

The structure in extended XYZ format:
```
16
Lattice="7.8060 0.0000 0.0000 0.0000 8.5137 0.0000 0.0000 0.0000 5.7102" Properties=species:S:1:pos:R:3 pbc="T T T"
Bi 0.0000 1.5142 0.0000
Bi 1.8388 5.4839 5.6779
Bi 2.0642 3.0297 2.8228
Bi 3.9030 6.9995 2.8551
Bi 5.7418 3.0297 2.8228
Bi 5.9672 5.4839 5.6779
Pd 0.0000 1.2307 2.9268
Pd 0.0000 7.3946 4.6520
Pd 1.4241 5.6993 2.7911
Pd 2.4789 2.8144 5.6462
Pd 3.9030 1.1191 1.7970
Pd 3.9030 7.2829 0.0717
Pd 5.3271 2.8144 5.6462
Pd 6.3818 5.6993 2.7911
S 0.0000 7.5222 2.2182
S 3.9030 0.9915 5.0733
```

Properties
Crystal system   orthorhombic
Calculated volume   23.7 A^3/atom
DFT total energy   -0.1733 hartree per atom

***

Below is a relaxed BaLiIr2 crystal, with properties calculated at the PBE-GGA level.

The structure in extended XYZ format:
```
16
Lattice="6.8327 0.0000 0.0000 0.0000 6.8327 0.0000 0.0000 0.0000 6.8327" Properties=species:S:1:pos:R:3 pbc="T T T"
Ba 0.0000 0.0000 0.0000
Ba 0.0000 3.4163 3.4163
Ba 3.4163 0.0000 3.4163
Ba 3.4163 3.4163 0.0000
Li 0.0000 0.0000 3.4163
Li 0.0000 3.4163 0.0000
Li 3.4163 0.0000 0.0000
Li 3.4163 3.4163 3.4163
Ir 1.7082 1.7082 1.7082
Ir 1.7082 1.7082 5.1245
Ir 1.7082 5.1245 1.7082
Ir 1.7082 5.1245 5.1245
Ir 5.1245 1.7082 1.7082
Ir 5.1245 1.7082 5.1245
Ir 5.1245 5.1245 1.7082
Ir 5.1245 5.1245 5.1245
```

Properties
Crystal system   cubic
ΔE to the lowest computed polymorph   893 meV/atom
Calculated volume   19.9 A^3/atom
E_form   0.712 eV/atom

***

Below is a relaxed Ho5Tl5H2 crystal, with properties calculated at the PBE-GGA level.

The structure in extended XYZ format:
```
12
Lattice="5.8019 -2.2625 0.0000 5.8019 2.2625 0.0000 -1.7625 0.0000 10.7525" Properties=species:S:1:pos:R:3 pbc="T T T"
Ho 0.0000 0.0000 0.0000
Ho 0.3069 0.0000 3.4441
Ho 3.6762 0.0000 1.8891
Ho 6.1652 0.0000 8.8634
Ho 9.5345 0.0000 7.3085
Tl 1.3776 0.0000 6.4456
Tl 2.6280 0.0000 9.3135
Tl 4.9207 0.0000 5.3763
Tl 7.2134 0.0000 1.4390
Tl 8.4638 0.0000 4.3070
H -0.5107 0.0000 8.8887
H 10.3521 0.0000 1.8638
```

Properties
Crystal system   monoclinic
Calculated volume   23.5 A^3/atom
DFT total energy   -0.1392 hartree per atom

***

Below is a relaxed Tm3Te3H2 crystal, with properties calculated at the PBE-GGA level.

The structure in extended XYZ format:
```
16
Lattice="1.9674 -5.4976 0.0000 1.9674 5.4976 0.0000 0.0000 0.0000 16.1341" Properties=species:S:1:pos:R:3 pbc="T T T"
Tm 1.9674 4.2026 12.1006
Tm 1.9674 3.7979 0.9944
Tm 1.9674 3.7979 7.0727
Tm 1.9674 -3.7979 9.0615
Tm 1.9674 -3.7979 15.1397
Tm 1.9674 -4.2026 4.0335
Te 1.9674 3.6260 4.0335
Te 1.9674 0.6353 1.7054
Te 1.9674 0.6353 6.3617
Te 1.9674 -0.6353 9.7724
Te 1.9674 -0.6353 14.4288
Te 1.9674 -3.6260 12.1006
H 1.9674 2.5487 8.8232
H 1.9674 2.5487 15.3780
H 1.9674 -2.5487 0.7561
H 1.9674 -2.5487 7.3110
```

Properties
Crystal system   orthorhombic
Calculated volume   21.8 A^3/atom
DFT total energy   -0.1738 hartree per atom

***

Below is a relaxed Rb2Cd2Te2S crystal, with properties calculated at the PBE-GGA level.

The structure in extended XYZ format:
```
14
Lattice="14.9382 0.0000 0.0000 0.0000 4.6399 0.0000 -4.6423 0.0000 7.3928" Properties=species:S:1:pos:R:3 pbc="T T T"
Rb -0.5704 0.0000 2.2665
Rb 3.3972 2.3200 5.1263
Rb 6.8987 2.3200 2.2665
Rb 10.8663 0.0000 5.1263
Cd 2.4609 2.3200 0.5438
Cd 0.3659 0.0000 6.8490
Cd 9.9300 0.0000 0.5438
Cd 7.8350 2.3200 6.8490
Te -0.6118 2.3200 5.4120
Te 3.4387 0.0000 1.9808
Te 6.8572 0.0000 5.4120
Te 10.9077 2.3200 1.9808
S 0.0000 2.3200 0.0000
S 7.4691 0.0000 0.0000
```

Properties
Crystal system   monoclinic
Calculated volume   36.6 A^3/atom
DFT total energy   -0.1041 hartree per atom